CaGdEr2 after structural relaxation, computed with PBE.

The value obtained for the energy is -6.161 eV/atom. As for the energy of formation: 0.141 eV per atom. The space-group type is P4/mmm. The value obtained for the excess energy over the best structure of this formula in the dataset is 0.055 eV/atom.

Structure (POSCAR):
```
CaGdEr2
1.0
5.0890 0.0000 0.0000
0.0000 5.0890 0.0000
0.0000 0.0000 5.1034
Ca Gd Er
1 1 2
direct
0.0000 0.0000 0.0000
0.5000 0.5000 0.0000
0.0000 0.5000 0.5000
0.5000 0.0000 0.5000
```